DFT (PBEsol) results for crystalline Y4CrPb at its relaxed geometry.

Cell lengths 6.1931, 6.1931, 6.1931 Å; angles 60.00, 60.00, 60.00 degrees
Atoms (fractional coordinates):
Y1 0.1250 0.1250 0.1250
Y2 0.1250 0.1250 0.6250
Y3 0.1250 0.6250 0.1250
Y4 0.6250 0.1250 0.1250
Cr1 0.5000 0.5000 0.5000
Pb1 0.7500 0.7500 0.7500

Summary:
formation energy from the elements = 550 meV/atom


DFT (PBEsol) results for crystalline YCrPb2 at its relaxed geometry.

Cell lengths 3.9220, 3.9220, 6.3721 Å; angles 90.00, 90.00, 90.00 degrees
Atoms (fractional coordinates):
Y1 0.0000 0.0000 0.0000
Cr1 0.5000 0.5000 0.2426
Pb1 0.0000 0.0000 0.4727
Pb2 0.5000 0.5000 0.7491

Summary:
formation energy from the elements = 214 meV/atom


DFT (PBEsol) results for crystalline YCrPb2 at its relaxed geometry.

Cell lengths 4.8357, 4.8432, 8.0269 Å; angles 90.00, 90.00, 90.00 degrees
Atoms (fractional coordinates):
Y1 0.0000 0.0000 0.0000
Y2 0.5000 0.5000 0.0000
Cr1 0.0000 0.0000 0.5000
Cr2 0.5000 0.5000 0.5000
Pb1 0.0000 0.5000 0.2772
Pb2 0.0000 0.5000 0.7228
Pb3 0.5000 0.0000 0.2772
Pb4 0.5000 0.0000 0.7228

Summary:
formation energy from the elements = 119 meV/atom